Entry 1:
Entry from Alexandria via LeMat-Bulk: a geometry-optimized MgCd2Ru structure (PBE).

* calculated formation energy: 0.1410 eV per atom
* calculated volume: 74.0 Å³/f.u.

a = 9.923 Å, b = 3.055 Å, c = 5.002 Å
α = 90.00°, β = 102.43°, γ = 90.00°
Space group C2/m (No. 12)
Asymmetric unit:
Mg  0.000  0.000  0.000 (multiplicity 2)
Cd  0.240  0.000  0.737 (multiplicity 4)
Ru  0.000  0.500  0.500 (multiplicity 2)

Entry 2:
Entry from Alexandria via LeMat-Bulk: a geometry-optimized Mg2CdRu structure (PBE).

* calculated formation energy: 0.0485 eV per atom
* calculated volume: 71.2 Å³/f.u.

a = 5.925 Å, b = 7.873 Å, c = 3.053 Å
α = 90.00°, β = 90.00°, γ = 90.00°
Space group Cmmm (No. 65)
Asymmetric unit:
Mg  0.250  0.250  0.000 (multiplicity 4)
Cd  0.000  0.000  0.500 (multiplicity 2)
Ru  0.000  0.500  0.500 (multiplicity 2)

Entry 3:
Entry from Alexandria via LeMat-Bulk: a geometry-optimized MgCd2Ru structure (PBE).

* calculated formation energy: 0.1540 eV per atom
* calculated volume: 73.6 Å³/f.u.

a = 2.992 Å, b = 4.221 Å, c = 5.829 Å
α = 90.00°, β = 90.79°, γ = 90.00°
Space group P2/m (No. 10)
Asymmetric unit:
Mg  0.000  0.000  0.000 (multiplicity 1)
Cd  0.499  0.500  0.739 (multiplicity 2)
Ru  0.000  0.000  0.500 (multiplicity 1)

Entry 4:
Entry from Alexandria via LeMat-Bulk: a geometry-optimized MgCdRu structure (PBE).

* calculated formation energy: 0.4954 eV per atom
* calculated volume: 62.8 Å³/f.u.

a = 6.310 Å, b = 6.310 Å, c = 6.310 Å
α = 90.00°, β = 90.00°, γ = 90.00°
Space group F-43m (No. 216)
Asymmetric unit:
Mg  0.000  0.000  0.000 (multiplicity 4)
Cd  0.000  0.000  0.500 (multiplicity 4)
Ru  0.250  0.250  0.750 (multiplicity 4)

Computed uncorrected energy (eV per cell) in order:
-24.27; -26.37; -12.08; -41.20
Computed M_tot (μB/atom) in order:
0.180; 0.174; 0.183; 0.091